[1]
Material: Ca2PtAu
Method: DFT, GGA-PBEsol
State: relaxed

Its formation energy from the elements is -77.38 kJ per mole of atoms. Its crystal system is orthorhombic. As for the space group: Amm2 (38). For the density of states at the Fermi level, the calculation gives 1.46 states/eV/cell.

abc: 3.8869 4.4536 5.6845
angles: 90.00 109.99 90.00
Element x y z (fractional)
Au1 0.2973 0.0000 0.5945
Ca1 0.0159 0.0000 0.0317
Pt1 0.4535 0.5000 0.9070
Ca2 0.7334 0.5000 0.4668

***

[2]
Material: Li2MgZn
Method: DFT, GGA-PBEsol
State: relaxed

Its formation energy from the elements is -8.26 kJ per mole of atoms. Its crystal system is orthorhombic. As for the space group: Pmm2 (25). For the density of states at the Fermi level, the calculation gives 1.54 states/eV/cell.

abc: 3.0750 3.4440 6.4720
angles: 90.00 90.00 90.00
Element x y z (fractional)
Li1 0.0000 0.0000 0.9799
Zn1 0.5000 0.5000 0.7735
Mg1 0.0000 0.0000 0.5172
Li2 0.5000 0.5000 0.2294

***

[3]
Material: MgCuPb2
Method: DFT, GGA-PBEsol
State: relaxed

Its formation energy from the elements is 16.08 kJ per mole of atoms. Its crystal system is tetragonal. As for the space group: I4/mmm (139). For the density of states at the Fermi level, the calculation gives 1.49 states/eV/cell.

abc: 4.7547 5.1799 4.7547
angles: 62.68 90.00 117.32
Element x y z (fractional)
Mg1 0.0000 0.0000 0.0000
Pb1 0.2500 0.5000 0.2500
Pb2 0.7500 0.5000 0.7500
Cu1 0.5000 0.0000 0.5000

***

[4]
Material: AlCuNi
Method: DFT, GGA-PBEsol
State: relaxed

Its formation energy from the elements is -35.65 kJ per mole of atoms. Its crystal system is monoclinic. As for the space group: P2_1/c (14). For the density of states at the Fermi level, the calculation gives 4.76 states/eV/cell.

abc: 4.5010 6.1548 5.1265
angles: 97.44 90.00 90.00
Element x y z (fractional)
Al1 0.3631 0.7799 0.5105
Cu1 0.1567 0.4311 0.6680
Ni1 0.6422 0.9003 0.1536
Cu2 0.8433 0.5689 0.3320
Cu3 0.6567 0.5689 0.8320
Al2 0.8631 0.2201 0.9895
Cu4 0.3433 0.4311 0.1680
Al3 0.6369 0.2201 0.4895
Ni2 0.3578 0.0997 0.8464
Ni3 0.1422 0.0997 0.3464
Ni4 0.8578 0.9003 0.6536
Al4 0.1369 0.7799 0.0105